1.
DyHfFe4: optimized geometry, PBE-GGA.

Structure (extended XYZ):
```
12
Lattice="5.037 0.000 0.000 -2.518 4.362 0.000 0.000 0.000 8.214" Properties=species:S:1:pos:R:3 pbc="T T T"
Dy 0.000 2.908 0.528
Dy 2.518 1.454 7.686
Hf 0.000 2.908 3.621
Hf 2.518 1.454 4.594
Fe 0.000 0.000 0.000
Fe 0.000 0.000 4.107
Fe 0.000 1.461 6.066
Fe -1.253 3.632 6.066
Fe 1.265 0.730 2.148
Fe 1.253 3.632 6.066
Fe 3.772 0.730 2.148
Fe 2.518 2.901 2.148
```

The final energy is -99.08 eV for the cell shown. The density of states at the Fermi level is 11.4 states/eV per cell. As for the calculated formation energy: -0.189 eV per atom.

---

2.
Dy2HfFe9: optimized geometry, PBE-GGA.

Structure (extended XYZ):
```
24
Lattice="4.995 0.000 0.000 -2.497 4.326 0.000 0.000 0.000 16.221" Properties=species:S:1:pos:R:3 pbc="T T T"
Dy 0.000 2.884 0.624
Dy 0.000 2.884 7.486
Dy 2.497 1.442 8.735
Dy 2.497 1.442 15.597
Hf 0.000 2.884 4.055
Hf 2.497 1.442 12.166
Fe 0.000 0.000 0.000
Fe 0.000 0.000 4.055
Fe 0.000 0.000 8.111
Fe 0.000 0.000 12.166
Fe 0.000 1.442 10.212
Fe 0.000 1.442 14.119
Fe -1.248 3.604 10.212
Fe -1.248 3.604 14.119
Fe 1.249 0.721 2.102
Fe 1.249 0.721 6.009
Fe 0.000 2.884 12.166
Fe 2.497 1.442 4.055
Fe 1.248 3.604 10.212
Fe 1.248 3.604 14.119
Fe 3.746 0.721 2.102
Fe 3.746 0.721 6.009
Fe 2.497 2.883 2.102
Fe 2.497 2.883 6.009
```

The final energy is -192.56 eV for the cell shown. The density of states at the Fermi level is 24.3 states/eV per cell. As for the calculated formation energy: -0.080 eV per atom.